The following is a DFT calculation (PBE) of a relaxed structure of HfZrMnGa. Values from VASP.

Properties
Calculated formation energy in eV per formula unit: -0.89
Total moment in μB/cell: 0.00
Volume in Å³/atom: 17.378

Geometry as Quantum ESPRESSO input:
```
&SYSTEM
  ibrav = 0, nat = 4, ntyp = 4
/
ATOMIC_SPECIES
Mn 54.94 Mn.upf
Hf 178.49 Hf.upf
Ga 69.72 Ga.upf
Zr 91.22 Zr.upf
CELL_PARAMETERS angstrom
-3.591 1.615 2.408
-2.377 -2.823 2.772
0.314 0.461 4.581
ATOMIC_POSITIONS crystal
Mn 0.750 0.750 0.750
Hf 0.000 0.000 0.000
Ga 0.250 0.250 0.250
Zr 0.500 0.500 0.500
```